Tl2TcAs: relaxed, PBE-GGA.

Calculated values
raw total energy = -0.1546 Ha/atom

a = 5.5011 Å, b = 5.5011 Å, c = 5.5011 Å
α = 133.76°, β = 133.76°, γ = 67.46°
Sites, in units of the cell vectors:
Tl1 0.0000 0.0000 0.0000
Tl2 0.7500 0.2500 0.5000
Tc1 0.5000 0.5000 0.0000
As1 0.2500 0.7500 0.5000